This record from the Alexandria database describes a geometry-optimized CdCo3F structure. The functional is PBE with a Hubbard U.

Lattice parameters (Å, degrees): 4.9697 4.9697 4.9697 90.00 90.00 90.00
Closest atoms and distances in Å follow each position.
Positions (direct):
F 0.5000 0.5000 0.5000  12 Co 3.51
Co 0.0000 0.5000 0.0000  2 Cd 2.48
Co 0.0000 0.0000 0.5000  2 Cd 2.48
Co 0.5000 0.0000 0.0000  2 Cd 2.48
Cd 0.0000 0.0000 0.0000  6 Co 2.48

Calculated values
crystal system = cubic
DOS(E_F) = 6.08 states/eV/f.u.
total magnetization = 7.7 μB/f.u.
space group = Pm-3m, No. 221
relative energy among the computed polymorphs = 121.4 kJ per mole of atoms